Run w
! IrPtC2, optimized geometry, DFT PBE; values from VASP
&SYSTEM
  ibrav = 0, nat = 4, ntyp = 3
/
ATOMIC_SPECIES
C 12.01 C.upf
Ir 192.22 Ir.upf
Pt 195.08 Pt.upf
ATOMIC_POSITIONS crystal
C 0.250 0.250 0.250
C 0.750 0.750 0.750
Ir 0.000 0.000 0.000
Pt 0.500 0.500 0.500
CELL_PARAMETERS angstrom
-0.381 -3.410 -1.887
-2.712 -2.581 1.148
-3.147 -0.660 -2.236
! D(E_F) in states/eV per atom: 0.9439


Run x
! IrPtC2, optimized geometry, DFT PBE; values from VASP
&SYSTEM
  ibrav = 0, nat = 8, ntyp = 3
/
ATOMIC_SPECIES
C 12.01 C.upf
Ir 192.22 Ir.upf
Pt 195.08 Pt.upf
ATOMIC_POSITIONS crystal
C 0.612 0.125 0.250
C 0.138 0.625 0.250
C 0.375 0.388 0.750
C 0.875 0.862 0.750
Ir 0.500 0.500 0.000
Ir 0.250 0.750 0.500
Pt 0.000 0.000 0.000
Pt 0.750 0.250 0.500
CELL_PARAMETERS angstrom
4.679 0.000 0.000
0.000 4.679 0.000
2.340 2.340 4.674
! D(E_F) in states/eV per atom: 0.3027


The energy of each structure relative to the most stable one, in meV/atom, is as follows: run w 1220; run x 0.


Run w
! Ir2Rh2C, optimized geometry, DFT PBE; values from VASP
&SYSTEM
  ibrav = 0, nat = 10, ntyp = 3
/
ATOMIC_SPECIES
C 12.01 C.upf
Ir 192.22 Ir.upf
Rh 102.91 Rh.upf
ATOMIC_POSITIONS crystal
C 0.000 0.000 0.000
C 0.500 0.500 0.000
Ir 0.330 0.830 0.000
Ir 0.830 0.670 0.000
Ir 0.670 0.170 0.000
Ir 0.170 0.330 0.000
Rh 0.173 0.673 0.500
Rh 0.673 0.827 0.500
Rh 0.827 0.327 0.500
Rh 0.327 0.173 0.500
CELL_PARAMETERS angstrom
-3.581 -3.837 -1.300
0.366 -2.034 4.997
-3.532 2.820 1.406
! D(E_F) in states/eV per atom: 1.1377


Run x
! Ir2Rh2C, optimized geometry, DFT PBE; values from VASP
&SYSTEM
  ibrav = 0, nat = 5, ntyp = 3
/
ATOMIC_SPECIES
C 12.01 C.upf
Ir 192.22 Ir.upf
Rh 102.91 Rh.upf
ATOMIC_POSITIONS crystal
C 0.000 0.000 0.000
Ir 0.404 0.404 0.192
Ir 0.596 0.596 0.808
Rh 0.750 0.250 0.500
Rh 0.250 0.750 0.500
CELL_PARAMETERS angstrom
-1.188 -3.241 -0.486
1.687 -0.162 -3.046
5.345 -4.011 1.180
! D(E_F) in states/eV per atom: 1.1215


The energy of each structure relative to the most stable one, in meV/atom, is as follows: run w 0; run x 1106.


Run w
! IrRhC2, optimized geometry, DFT PBE; values from VASP
&SYSTEM
  ibrav = 0, nat = 8, ntyp = 3
/
ATOMIC_SPECIES
C 12.01 C.upf
Ir 192.22 Ir.upf
Rh 102.91 Rh.upf
ATOMIC_POSITIONS crystal
C 0.632 0.125 0.250
C 0.118 0.625 0.250
C 0.375 0.368 0.750
C 0.875 0.882 0.750
Ir 0.000 0.000 0.000
Ir 0.750 0.250 0.500
Rh 0.500 0.500 0.000
Rh 0.250 0.750 0.500
CELL_PARAMETERS angstrom
4.615 0.000 0.000
0.000 4.615 0.000
2.307 2.307 4.632
! D(E_F) in states/eV per atom: 0.4058


Run x
! IrRhC2, optimized geometry, DFT PBE; values from VASP
&SYSTEM
  ibrav = 0, nat = 4, ntyp = 3
/
ATOMIC_SPECIES
C 12.01 C.upf
Ir 192.22 Ir.upf
Rh 102.91 Rh.upf
ATOMIC_POSITIONS crystal
C 0.250 0.250 0.250
C 0.750 0.750 0.750
Ir 0.500 0.500 0.500
Rh 0.000 0.000 0.000
CELL_PARAMETERS angstrom
3.547 0.374 1.428
0.997 3.217 1.849
0.557 -0.063 3.801
! D(E_F) in states/eV per atom: 0.7971


The energy of each structure relative to the most stable one, in meV/atom, is as follows: run w 0; run x 1022.


Run w
! IrRh3C, optimized geometry, DFT PBE; values from VASP
&SYSTEM
  ibrav = 0, nat = 5, ntyp = 3
/
ATOMIC_SPECIES
C 12.01 C.upf
Ir 192.22 Ir.upf
Rh 102.91 Rh.upf
ATOMIC_POSITIONS crystal
C 0.500 0.500 0.500
Ir 0.000 0.000 0.000
Rh 0.000 0.500 0.000
Rh 0.000 0.000 0.500
Rh 0.500 0.000 0.000
CELL_PARAMETERS angstrom
4.718 0.000 0.000
0.000 4.718 0.000
0.000 0.000 4.718
! D(E_F) in states/eV per atom: 1.6308


Run x
! IrRh3C, optimized geometry, DFT PBE; values from VASP
&SYSTEM
  ibrav = 0, nat = 5, ntyp = 3
/
ATOMIC_SPECIES
C 12.01 C.upf
Ir 192.22 Ir.upf
Rh 102.91 Rh.upf
ATOMIC_POSITIONS crystal
C 0.000 0.000 0.000
Ir 0.500 0.500 0.500
Rh 0.000 0.500 0.000
Rh 0.000 0.000 0.500
Rh 0.500 0.000 0.000
CELL_PARAMETERS angstrom
-2.050 -0.868 3.383
0.411 -3.955 -0.765
3.468 -0.044 2.090
! D(E_F) in states/eV per atom: 1.6026


The energy of each structure relative to the most stable one, in meV/atom, is as follows: run w 2228; run x 0.


Run w
! Ir2RhC2, optimized geometry, DFT PBE; values from VASP
&SYSTEM
  ibrav = 0, nat = 5, ntyp = 3
/
ATOMIC_SPECIES
C 12.01 C.upf
Ir 192.22 Ir.upf
Rh 102.91 Rh.upf
ATOMIC_POSITIONS crystal
C 0.750 0.250 0.500
C 0.250 0.750 0.500
Ir 0.361 0.361 0.279
Ir 0.639 0.639 0.721
Rh 0.000 0.000 0.000
CELL_PARAMETERS angstrom
-1.929 -2.179 -1.644
2.271 -0.163 -2.448
2.603 -5.232 0.481
! D(E_F) in states/eV per atom: 1.1160


Run x
! Ir2RhC2, optimized geometry, DFT PBE; values from VASP
&SYSTEM
  ibrav = 0, nat = 10, ntyp = 3
/
ATOMIC_SPECIES
C 12.01 C.upf
Ir 192.22 Ir.upf
Rh 102.91 Rh.upf
ATOMIC_POSITIONS crystal
C 0.133 0.633 0.500
C 0.633 0.867 0.500
C 0.867 0.367 0.500
C 0.367 0.133 0.500
Ir 0.359 0.859 0.000
Ir 0.859 0.641 0.000
Ir 0.641 0.141 0.000
Ir 0.141 0.359 0.000
Rh 0.000 0.000 0.000
Rh 0.500 0.500 0.000
CELL_PARAMETERS angstrom
-0.237 4.078 -5.201
1.084 -5.110 -4.056
-2.645 -0.405 -0.197
! D(E_F) in states/eV per atom: 0.8347


The energy of each structure relative to the most stable one, in meV/atom, is as follows: run w 0; run x 604.


Run w
! IrRuC2, optimized geometry, DFT PBE; values from VASP
&SYSTEM
  ibrav = 0, nat = 4, ntyp = 3
/
ATOMIC_SPECIES
Ru 101.07 Ru.upf
C 12.01 C.upf
Ir 192.22 Ir.upf
ATOMIC_POSITIONS crystal
Ru 0.000 0.000 0.000
C 0.250 0.250 0.250
C 0.750 0.750 0.750
Ir 0.500 0.500 0.500
CELL_PARAMETERS angstrom
0.000 2.699 2.699
2.699 0.000 2.699
2.699 2.699 0.000
! D(E_F) in states/eV per atom: 0.4357


Run x
! IrRuC2, optimized geometry, DFT PBE; values from VASP
&SYSTEM
  ibrav = 0, nat = 8, ntyp = 3
/
ATOMIC_SPECIES
Ru 101.07 Ru.upf
C 12.01 C.upf
Ir 192.22 Ir.upf
ATOMIC_POSITIONS crystal
Ru 0.500 0.500 0.000
Ru 0.250 0.750 0.500
C 0.623 0.125 0.250
C 0.127 0.625 0.250
C 0.375 0.377 0.750
C 0.875 0.873 0.750
Ir 0.000 0.000 0.000
Ir 0.750 0.250 0.500
CELL_PARAMETERS angstrom
4.498 0.000 0.000
0.000 4.498 0.000
2.249 2.249 4.811
! D(E_F) in states/eV per atom: 0.3848


The energy of each structure relative to the most stable one, in meV/atom, is as follows: run w 872; run x 0.


Run w
! Ir3RuC, optimized geometry, DFT PBE; values from VASP
&SYSTEM
  ibrav = 0, nat = 5, ntyp = 3
/
ATOMIC_SPECIES
Ru 101.07 Ru.upf
C 12.01 C.upf
Ir 192.22 Ir.upf
ATOMIC_POSITIONS crystal
Ru 0.000 0.000 0.000
C 0.500 0.500 0.500
Ir 0.000 0.500 0.000
Ir 0.000 0.000 0.500
Ir 0.500 0.000 0.000
CELL_PARAMETERS angstrom
4.674 0.000 0.000
0.000 4.674 0.000
0.000 0.000 4.674
! D(E_F) in states/eV per atom: 1.4650


Run x
! Ir3RuC, optimized geometry, DFT PBE; values from VASP
&SYSTEM
  ibrav = 0, nat = 5, ntyp = 3
/
ATOMIC_SPECIES
Ru 101.07 Ru.upf
C 12.01 C.upf
Ir 192.22 Ir.upf
ATOMIC_POSITIONS crystal
Ru 0.500 0.500 0.500
C 0.000 0.000 0.000
Ir 0.000 0.500 0.000
Ir 0.000 0.000 0.500
Ir 0.500 0.000 0.000
CELL_PARAMETERS angstrom
4.070 0.000 0.000
0.000 4.070 0.000
0.000 0.000 4.070
! D(E_F) in states/eV per atom: 1.6549


The energy of each structure relative to the most stable one, in meV/atom, is as follows: run w 2502; run x 0.


Run w
! IrRu3C, optimized geometry, DFT PBE; values from VASP
&SYSTEM
  ibrav = 0, nat = 5, ntyp = 3
/
ATOMIC_SPECIES
Ru 101.07 Ru.upf
C 12.01 C.upf
Ir 192.22 Ir.upf
ATOMIC_POSITIONS crystal
Ru 0.000 0.500 0.000
Ru 0.000 0.000 0.500
Ru 0.500 0.000 0.000
C 0.000 0.000 0.000
Ir 0.500 0.500 0.500
CELL_PARAMETERS angstrom
4.017 0.000 0.000
0.000 4.017 0.000
0.000 0.000 4.017
! D(E_F) in states/eV per atom: 1.0880


Run x
! IrRu3C, optimized geometry, DFT PBE; values from VASP
&SYSTEM
  ibrav = 0, nat = 5, ntyp = 3
/
ATOMIC_SPECIES
Ru 101.07 Ru.upf
C 12.01 C.upf
Ir 192.22 Ir.upf
ATOMIC_POSITIONS crystal
Ru 0.000 0.500 0.000
Ru 0.000 0.000 0.500
Ru 0.500 0.000 0.000
C 0.500 0.500 0.500
Ir 0.000 0.000 0.000
CELL_PARAMETERS angstrom
-3.030 -3.564 -0.204
-0.001 -0.267 4.675
-3.570 3.025 0.172
! D(E_F) in states/eV per atom: 1.4555


The energy of each structure relative to the most stable one, in meV/atom, is as follows: run w 0; run x 2683.